(1)
# La5Ga3H (PBE-GGA, relaxed)
data_La5Ga3H
_space_group_name_H-M_alt 'I 4/m c m'
_space_group_IT_number 140
_space_group_name_Hall '-I 4 2c'
_cell_length_a 8.100
_cell_length_b 8.100
_cell_length_c 14.625
_cell_angle_alpha 90.00
_cell_angle_beta 90.00
_cell_angle_gamma 90.00
loop_
_atom_site_label
_atom_site_fract_x
_atom_site_fract_y
_atom_site_fract_z
La1 0.000 0.000 0.000
La2 0.172 0.328 0.153
Ga1 0.000 0.000 0.250
Ga2 0.115 0.385 0.500
H1 0.000 0.500 0.250
# - V: 26.65 A^3/atom
# - Final energy: -166.96 eV for the cell shown

---

(2)
# La2GaH (PBE-GGA, relaxed)
data_La2GaH
_space_group_name_H-M_alt 'C 1 2/m 1'
_space_group_IT_number 12
_cell_length_a 5.698
_cell_length_b 11.368
_cell_length_c 6.364
_cell_angle_alpha 90.00
_cell_angle_beta 116.46
_cell_angle_gamma 90.00
loop_
_space_group_symop_operation_xyz
'x,y,z'
'-x,-y,-z'
'-x,y,-z'
'x,-y,z'
'x+1/2,y+1/2,z'
'-x+1/2,-y+1/2,-z'
'-x+1/2,y+1/2,-z'
'x+1/2,-y+1/2,z'
loop_
_atom_site_label
_atom_site_fract_x
_atom_site_fract_y
_atom_site_fract_z
La1 0.000 0.165 0.000
La2 0.178 0.500 0.331
Ga1 0.000 0.254 0.500
H1 0.243 0.500 0.989
# - E above lowest polymorph: 0 meV/atom
# - V: 23.06 A^3/atom
# - Final energy: -72.76 eV for the cell shown

---

(3)
# La2MgGaH (PBE-GGA, relaxed)
data_La2MgGaH
_space_group_name_H-M_alt 'P 4/m m m'
_space_group_IT_number 123
_space_group_name_Hall '-P 4 2'
_cell_length_a 4.972
_cell_length_b 4.972
_cell_length_c 4.532
_cell_angle_alpha 90.00
_cell_angle_beta 90.00
_cell_angle_gamma 90.00
loop_
_atom_site_label
_atom_site_fract_x
_atom_site_fract_y
_atom_site_fract_z
La1 0.000 0.500 0.000
Mg1 0.000 0.000 0.500
Ga1 0.500 0.500 0.500
H1 0.000 0.000 0.000
# - E above lowest polymorph: 0 meV/atom
# - V: 22.41 A^3/atom
# - Final energy: -19.68 eV for the cell shown